[1]
# CaMnMo2, optimized geometry, DFT GGA-PBE
data_CaMnMo2
_cell_length_a 4.636
_cell_length_b 4.636
_cell_length_c 4.636
_cell_angle_alpha 60.00
_cell_angle_beta 60.00
_cell_angle_gamma 60.00
_symmetry_space_group_name_H-M 'P 1'
_symmetry_Int_Tables_number 1
loop_
_symmetry_equiv_pos_as_xyz
'x,y,z'
loop_
_atom_site_label
_atom_site_type_symbol
_atom_site_fract_x
_atom_site_fract_y
_atom_site_fract_z
_atom_site_occupancy
Ca1 Ca 0.000 0.000 0.000 1
Mn1 Mn 0.250 0.250 0.250 1
Mo1 Mo 0.500 0.500 0.500 1
Mo2 Mo 0.750 0.750 0.750 1
# VASP energy: -7.559 eV/atom
# crystal system: cubic
# volume: 70.45 Å³/f.u.
# SG: F-43m, No. 216

[2]
# CaMnMo2, optimized geometry, DFT GGA-PBE
data_CaMnMo2
_cell_length_a 2.875
_cell_length_b 2.875
_cell_length_c 8.535
_cell_angle_alpha 90.00
_cell_angle_beta 90.00
_cell_angle_gamma 96.22
_symmetry_space_group_name_H-M 'P 1'
_symmetry_Int_Tables_number 1
loop_
_symmetry_equiv_pos_as_xyz
'x,y,z'
loop_
_atom_site_label
_atom_site_type_symbol
_atom_site_fract_x
_atom_site_fract_y
_atom_site_fract_z
_atom_site_occupancy
Ca1 Ca 0.000 0.000 0.000 1
Mn1 Mn 0.000 0.000 0.500 1
Mo1 Mo 0.500 0.500 0.314 1
Mo2 Mo 0.500 0.500 0.686 1
# VASP energy: -7.633 eV/atom
# crystal system: orthorhombic
# volume: 70.12 Å³/f.u.
# SG: Cmmm, No. 65

[3]
# CaMn2Mo, optimized geometry, DFT GGA-PBE
data_CaMn2Mo
_cell_length_a 4.622
_cell_length_b 4.622
_cell_length_c 4.622
_cell_angle_alpha 60.00
_cell_angle_beta 60.00
_cell_angle_gamma 60.00
_symmetry_space_group_name_H-M 'P 1'
_symmetry_Int_Tables_number 1
loop_
_symmetry_equiv_pos_as_xyz
'x,y,z'
loop_
_atom_site_label
_atom_site_type_symbol
_atom_site_fract_x
_atom_site_fract_y
_atom_site_fract_z
_atom_site_occupancy
Ca1 Ca 0.000 0.000 0.000 1
Mn1 Mn 0.500 0.500 0.500 1
Mn2 Mn 0.750 0.750 0.750 1
Mo1 Mo 0.250 0.250 0.250 1
# VASP energy: -7.052 eV/atom
# crystal system: cubic
# volume: 69.84 Å³/f.u.
# SG: F-43m, No. 216

[4]
# CaMnMo2, optimized geometry, DFT GGA-PBE
data_CaMnMo2
_cell_length_a 9.379
_cell_length_b 9.379
_cell_length_c 9.379
_cell_angle_alpha 18.14
_cell_angle_beta 18.14
_cell_angle_gamma 18.14
_symmetry_space_group_name_H-M 'P 1'
_symmetry_Int_Tables_number 1
loop_
_symmetry_equiv_pos_as_xyz
'x,y,z'
loop_
_atom_site_label
_atom_site_type_symbol
_atom_site_fract_x
_atom_site_fract_y
_atom_site_fract_z
_atom_site_occupancy
Ca1 Ca 0.000 0.000 0.000 1
Mn1 Mn 0.500 0.500 0.500 1
Mo1 Mo 0.236 0.236 0.236 1
Mo2 Mo 0.764 0.764 0.764 1
# VASP energy: -7.477 eV/atom
# crystal system: trigonal
# volume: 69.83 Å³/f.u.
# SG: R-3m, No. 166

[5]
# CaMnMo4, optimized geometry, DFT GGA-PBE
data_CaMnMo4
_cell_length_a 5.362
_cell_length_b 5.362
_cell_length_c 5.362
_cell_angle_alpha 60.00
_cell_angle_beta 60.00
_cell_angle_gamma 60.00
_symmetry_space_group_name_H-M 'P 1'
_symmetry_Int_Tables_number 1
loop_
_symmetry_equiv_pos_as_xyz
'x,y,z'
loop_
_atom_site_label
_atom_site_type_symbol
_atom_site_fract_x
_atom_site_fract_y
_atom_site_fract_z
_atom_site_occupancy
Ca1 Ca 0.000 0.000 0.000 1
Mn1 Mn 0.750 0.750 0.750 1
Mo1 Mo 0.374 0.374 0.374 1
Mo2 Mo 0.374 0.374 0.877 1
Mo3 Mo 0.374 0.877 0.374 1
Mo4 Mo 0.877 0.374 0.374 1
# VASP energy: -8.559 eV/atom
# crystal system: cubic
# volume: 109.00 Å³/f.u.
# SG: F-43m, No. 216

[6]
# CaMnMo3, optimized geometry, DFT GGA-PBE
data_CaMnMo3
_cell_length_a 4.602
_cell_length_b 4.602
_cell_length_c 4.602
_cell_angle_alpha 90.00
_cell_angle_beta 90.00
_cell_angle_gamma 90.00
_symmetry_space_group_name_H-M 'P 1'
_symmetry_Int_Tables_number 1
loop_
_symmetry_equiv_pos_as_xyz
'x,y,z'
loop_
_atom_site_label
_atom_site_type_symbol
_atom_site_fract_x
_atom_site_fract_y
_atom_site_fract_z
_atom_site_occupancy
Ca1 Ca 0.000 0.000 0.000 1
Mn1 Mn 0.500 0.500 0.500 1
Mo1 Mo 0.000 0.500 0.500 1
Mo2 Mo 0.500 0.000 0.500 1
Mo3 Mo 0.500 0.500 0.000 1
# VASP energy: -7.768 eV/atom
# crystal system: cubic
# volume: 97.45 Å³/f.u.
# SG: Pm-3m, No. 221

[7]
# CaMnMo2, optimized geometry, DFT GGA-PBE
data_CaMnMo2
_cell_length_a 2.987
_cell_length_b 3.567
_cell_length_c 7.102
_cell_angle_alpha 90.00
_cell_angle_beta 95.69
_cell_angle_gamma 90.00
_symmetry_space_group_name_H-M 'P 1'
_symmetry_Int_Tables_number 1
loop_
_symmetry_equiv_pos_as_xyz
'x,y,z'
loop_
_atom_site_label
_atom_site_type_symbol
_atom_site_fract_x
_atom_site_fract_y
_atom_site_fract_z
_atom_site_occupancy
Ca1 Ca 0.000 0.000 0.000 1
Mn1 Mn 0.000 0.000 0.500 1
Mo1 Mo 0.417 0.500 0.665 1
Mo2 Mo 0.583 0.500 0.335 1
# VASP energy: -7.649 eV/atom
# crystal system: monoclinic
# volume: 75.31 Å³/f.u.
# SG: P2/m, No. 10

[8]
# CaMn2Mo, optimized geometry, DFT GGA-PBE
data_CaMn2Mo
_cell_length_a 9.251
_cell_length_b 9.251
_cell_length_c 9.251
_cell_angle_alpha 18.64
_cell_angle_beta 18.64
_cell_angle_gamma 18.64
_symmetry_space_group_name_H-M 'P 1'
_symmetry_Int_Tables_number 1
loop_
_symmetry_equiv_pos_as_xyz
'x,y,z'
loop_
_atom_site_label
_atom_site_type_symbol
_atom_site_fract_x
_atom_site_fract_y
_atom_site_fract_z
_atom_site_occupancy
Ca1 Ca 0.000 0.000 0.000 1
Mn1 Mn 0.506 0.506 0.506 1
Mn2 Mn 0.766 0.766 0.766 1
Mo1 Mo 0.236 0.236 0.236 1
# VASP energy: -7.052 eV/atom
# crystal system: trigonal
# volume: 70.65 Å³/f.u.
# SG: R3m, No. 160

[9]
# CaMnMo2, optimized geometry, DFT GGA-PBE
data_CaMnMo2
_cell_length_a 4.485
_cell_length_b 4.485
_cell_length_c 4.485
_cell_angle_alpha 60.00
_cell_angle_beta 60.00
_cell_angle_gamma 60.00
_symmetry_space_group_name_H-M 'P 1'
_symmetry_Int_Tables_number 1
loop_
_symmetry_equiv_pos_as_xyz
'x,y,z'
loop_
_atom_site_label
_atom_site_type_symbol
_atom_site_fract_x
_atom_site_fract_y
_atom_site_fract_z
_atom_site_occupancy
Ca1 Ca 0.000 0.000 0.000 1
Mn1 Mn 0.500 0.500 0.500 1
Mo1 Mo 0.250 0.250 0.250 1
Mo2 Mo 0.750 0.750 0.750 1
# VASP energy: -7.322 eV/atom
# crystal system: cubic
# volume: 63.81 Å³/f.u.
# SG: Fm-3m, No. 225

[10]
# CaMnMo2, optimized geometry, DFT GGA-PBE
data_CaMnMo2
_cell_length_a 3.315
_cell_length_b 3.315
_cell_length_c 7.052
_cell_angle_alpha 90.00
_cell_angle_beta 90.00
_cell_angle_gamma 90.00
_symmetry_space_group_name_H-M 'P 1'
_symmetry_Int_Tables_number 1
loop_
_symmetry_equiv_pos_as_xyz
'x,y,z'
loop_
_atom_site_label
_atom_site_type_symbol
_atom_site_fract_x
_atom_site_fract_y
_atom_site_fract_z
_atom_site_occupancy
Ca1 Ca 0.000 0.000 0.000 1
Mn1 Mn 0.000 0.000 0.500 1
Mo1 Mo 0.500 0.500 0.336 1
Mo2 Mo 0.500 0.500 0.664 1
# VASP energy: -7.634 eV/atom
# crystal system: tetragonal
# volume: 77.51 Å³/f.u.
# SG: P4/mmm, No. 123

| no. | formation energy (meV/atom) | theoretical density (g/cm3) |
| --- | --- | --- |
| 1 | 650 | 6.76 |
| 2 | 575 | 6.79 |
| 3 | 741 | 5.85 |
| 4 | 731 | 6.82 |
| 5 | 524 | 7.29 |
| 6 | 965 | 6.52 |
| 7 | 559 | 6.33 |
| 8 | 741 | 5.78 |
| 9 | 886 | 7.47 |
| 10 | 574 | 6.15 |